Version a
# CsVSCl2

Crystalline CsVSCl2 at its relaxed geometry (PBE-GGA, Alexandria via LeMat-Bulk).

```
CsVSCl2
1.0
5.1995 0.0000 0.0000
0.0000 5.1995 0.0000
0.0000 0.0000 4.6244
Cl S Cs V
2 1 1 1
direct
0.0000 0.5000 0.0000
0.5000 0.0000 0.0000
0.0000 0.0000 0.5000
0.5000 0.5000 0.5000
0.0000 0.0000 0.0000
```

**Space-group type**: No. 123
**DOS at the Fermi energy**: 0.331 states/eV/atom

Version b
# CsVSCl2

Crystalline CsVSCl2 at its relaxed geometry (PBE-GGA, Alexandria via LeMat-Bulk).

```
CsVSCl2
1.0
-0.3375 -2.6762 5.3441
-3.0152 -4.5453 -2.4666
4.6901 -2.5728 -0.9922
Cl Cs V S
2 1 1 1
direct
0.5000 0.0000 0.0000
0.0000 0.5000 0.0000
0.0000 0.0000 0.0000
0.5000 0.5000 0.5000
0.0000 0.0000 0.5000
```

**Space-group type**: No. 123
**DOS at the Fermi energy**: 3.704 states/eV/atom

Which one sits at the top of the stability order? version a does.

Version a
# CsWSCl2

Crystalline CsWSCl2 at its relaxed geometry (PBE-GGA, Alexandria via LeMat-Bulk).

```
CsWSCl2
1.0
-2.3937 0.4918 5.4028
1.7769 -5.5085 1.2886
4.6607 1.9450 1.8879
Cl Cs S W
2 1 1 1
direct
0.5000 0.0000 0.0000
0.0000 0.5000 0.0000
0.0000 0.0000 0.0000
0.0000 0.0000 0.5000
0.5000 0.5000 0.5000
```

**Space-group type**: No. 123
**DOS at the Fermi energy**: 2.323 states/eV/atom

Version b
# CsWSCl2

Crystalline CsWSCl2 at its relaxed geometry (PBE-GGA, Alexandria via LeMat-Bulk).

```
CsWSCl2
1.0
-2.2939 1.4026 4.4642
3.7647 -2.3996 2.6883
2.4820 3.9370 0.0384
Cs Cl S W
1 2 1 1
direct
0.5000 0.5000 0.5000
0.0000 0.5000 0.0000
0.5000 0.0000 0.0000
0.0000 0.0000 0.5000
0.0000 0.0000 0.0000
```

**Space-group type**: No. 123
**DOS at the Fermi energy**: 0.430 states/eV/atom

Which one sits at the top of the stability order? version b does.

Version a
# CsWS2Cl

Crystalline CsWS2Cl at its relaxed geometry (PBE-GGA, Alexandria via LeMat-Bulk).

```
CsWS2Cl
1.0
-3.2436 4.1846 -1.1645
-2.2630 -2.8686 -4.0047
-4.0814 -2.1027 3.8126
S W Cl Cs
2 1 1 1
direct
0.0000 0.5000 0.0000
0.5000 0.0000 0.0000
0.5000 0.5000 0.5000
0.0000 0.0000 0.5000
0.0000 0.0000 0.0000
```

**Space-group type**: No. 123
**DOS at the Fermi energy**: 1.447 states/eV/atom

Version b
# CsWS2Cl

Crystalline CsWS2Cl at its relaxed geometry (PBE-GGA, Alexandria via LeMat-Bulk).

```
CsWS2Cl
1.0
4.7431 0.0000 0.0000
0.0000 4.7431 0.0000
0.0000 0.0000 5.3385
S Cl W Cs
2 1 1 1
direct
0.0000 0.5000 0.0000
0.5000 0.0000 0.0000
0.0000 0.0000 0.5000
0.0000 0.0000 0.0000
0.5000 0.5000 0.5000
```

**Space-group type**: No. 123
**DOS at the Fermi energy**: 0.746 states/eV/atom

Which one sits at the top of the stability order? version b does.

Version a
# CsZrS2Cl

Crystalline CsZrS2Cl at its relaxed geometry (PBE-GGA, Alexandria via LeMat-Bulk).

```
CsZrS2Cl
1.0
5.3978 0.0000 0.0000
0.0000 5.3978 0.0000
0.0000 0.0000 5.8687
S Cl Zr Cs
2 1 1 1
direct
0.5000 0.0000 0.0000
0.0000 0.5000 0.0000
0.0000 0.0000 0.5000
0.5000 0.5000 0.5000
0.0000 0.0000 0.0000
```

**Space-group type**: No. 123
**DOS at the Fermi energy**: 0.585 states/eV/atom

Version b
# CsZrS2Cl

Crystalline CsZrS2Cl at its relaxed geometry (PBE-GGA, Alexandria via LeMat-Bulk).

```
CsZrS2Cl
1.0
5.0693 0.0000 0.0000
0.0000 5.0693 0.0000
0.0000 0.0000 5.3214
Zr S Cl Cs
1 2 1 1
direct
0.0000 0.0000 0.0000
0.0000 0.5000 0.0000
0.5000 0.0000 0.0000
0.0000 0.0000 0.5000
0.5000 0.5000 0.5000
```

**Space-group type**: No. 123
**DOS at the Fermi energy**: 0.101 states/eV/atom

Which one sits at the top of the stability order? version b does.

Version a
# CsZrSCl2

Crystalline CsZrSCl2 at its relaxed geometry (PBE-GGA, Alexandria via LeMat-Bulk).

```
CsZrSCl2
1.0
-3.2024 2.3651 3.4075
-3.8276 -3.3436 -1.2766
1.5348 -3.1398 3.6218
Zr S Cs Cl
1 1 1 2
direct
0.0000 0.0000 0.0000
0.0000 0.0000 0.5000
0.5000 0.5000 0.5000
0.0000 0.5000 0.0000
0.5000 0.0000 0.0000
```

**Space-group type**: No. 123
**DOS at the Fermi energy**: 0.328 states/eV/atom

Version b
# CsZrSCl2

Crystalline CsZrSCl2 at its relaxed geometry (PBE-GGA, Alexandria via LeMat-Bulk).

```
CsZrSCl2
1.0
5.9838 0.0000 0.0000
0.0000 5.9838 0.0000
0.0000 0.0000 5.4603
Zr Cl S Cs
1 2 1 1
direct
0.5000 0.5000 0.5000
0.5000 0.0000 0.0000
0.0000 0.5000 0.0000
0.0000 0.0000 0.5000
0.0000 0.0000 0.0000
```

**Space-group type**: No. 123
**DOS at the Fermi energy**: 0.423 states/eV/atom

Which one sits at the top of the stability order? version a does.

Version a
# Cs3SbCl

Crystalline Cs3SbCl at its relaxed geometry (PBE-GGA, Alexandria via LeMat-Bulk).

```
Cs3SbCl
1.0
-4.1335 -7.8274 -2.5396
3.9829 -8.0904 1.8079
-7.3044 -2.7777 3.6704
Sb Cs Cl
2 6 2
direct
0.8630 0.5233 0.5161
0.5646 0.6723 0.9632
0.0394 0.2153 0.0314
0.3864 0.5416 0.4478
0.3864 0.9817 0.4478
0.9486 0.9804 0.4480
0.4781 0.2164 0.0307
0.0390 0.6549 0.0315
0.9985 0.9555 0.8117
0.4281 0.2408 0.6674
```

**Space-group type**: No. 1
**DOS at the Fermi energy**: 0.272 states/eV/atom

Version b
# Cs3SbCl

Crystalline Cs3SbCl at its relaxed geometry (PBE-GGA, Alexandria via LeMat-Bulk).

```
Cs3SbCl
1.0
-4.3088 -0.8658 4.8744
4.6326 -2.9841 3.5650
1.7460 5.7810 2.5702
Sb Cs Cl
1 3 1
direct
0.5000 0.5000 0.5000
0.0000 0.5000 0.0000
0.0000 0.0000 0.5000
0.5000 0.0000 0.0000
0.0000 0.0000 0.0000
```

**Space-group type**: No. 221
**DOS at the Fermi energy**: 0.979 states/eV/atom

Which one sits at the top of the stability order? version b does.

Version a
# CsSb2Cl

Crystalline CsSb2Cl at its relaxed geometry (PBE-GGA, Alexandria via LeMat-Bulk).

```
CsSb2Cl
1.0
4.7616 1.2196 3.0227
0.2190 4.7713 3.2377
-0.0511 -0.4138 5.7552
Cl Sb Cs
1 2 1
direct
0.0000 0.0000 0.0000
0.2500 0.2500 0.2500
0.7500 0.7500 0.7500
0.5000 0.5000 0.5000
```

**Space-group type**: No. 225
**DOS at the Fermi energy**: 1.273 states/eV/atom

Version b
# CsSb2Cl

Crystalline CsSb2Cl at its relaxed geometry (PBE-GGA, Alexandria via LeMat-Bulk).

```
CsSb2Cl
1.0
-4.4378 0.2265 1.1256
1.0433 -1.0802 4.3309
0.2405 17.5617 6.7480
Sb Cl Cs
4 2 2
direct
0.1901 0.1250 0.2500
0.5599 0.6250 0.2500
0.8750 0.4401 0.7500
0.3750 0.8099 0.7500
0.5000 0.5000 0.0000
0.2500 0.7500 0.5000
0.0000 0.0000 0.0000
0.7500 0.2500 0.5000
```

**Space-group type**: No. 122
**DOS at the Fermi energy**: 0.537 states/eV/atom

Which one sits at the top of the stability order? version b does.

Version a
# CsSb2Cl6

Crystalline CsSb2Cl6 at its relaxed geometry (PBE-GGA, Alexandria via LeMat-Bulk).

```
CsSb2Cl6
1.0
-3.3758 6.4702 -0.3685
-5.8199 -3.2324 -3.4472
0.1255 0.4920 7.4796
Cl Cs Sb
6 1 2
direct
0.3067 0.0000 0.6308
0.3067 0.6308 0.0000
0.3067 0.3692 0.3692
0.6933 0.6308 0.6308
0.6933 0.3692 0.0000
0.6933 0.0000 0.3692
0.0000 0.0000 0.0000
0.5000 0.3333 0.6667
0.5000 0.6667 0.3333
```

**Space-group type**: No. 162
**DOS at the Fermi energy**: 0.380 states/eV/atom

Version b
# CsSb2Cl6

Crystalline CsSb2Cl6 at its relaxed geometry (PBE-GGA, Alexandria via LeMat-Bulk).

```
CsSb2Cl6
1.0
-2.9843 -4.9945 -0.3195
1.5519 -3.9442 -5.9738
6.0126 -7.1766 2.8910
Cl Sb Cs
6 2 1
direct
0.3443 0.6402 0.6712
0.0446 0.1049 0.8059
0.6557 0.3598 0.3288
0.9554 0.8951 0.1941
0.3094 0.3126 0.0685
0.6906 0.6874 0.9315
0.8215 0.2754 0.0816
0.1785 0.7246 0.9184
0.0000 0.5000 0.5000
```

**Space-group type**: No. 12
**DOS at the Fermi energy**: 0.216 states/eV/atom

Which one sits at the top of the stability order? version b does.

Version a
# Cs2SbCl4

Crystalline Cs2SbCl4 at its relaxed geometry (PBE-GGA, Alexandria via LeMat-Bulk).

```
Cs2SbCl4
1.0
6.8717 0.8791 -2.3847
-3.2483 6.1190 -2.3847
-0.4552 -0.8791 7.2595
Cl Cs Sb
4 2 1
direct
0.2658 0.2658 0.5316
0.2658 0.7342 0.0000
0.7342 0.7342 0.4684
0.7342 0.2658 0.0000
0.7500 0.2500 0.5000
0.2500 0.7500 0.5000
0.5000 0.5000 0.0000
```

**Space-group type**: No. 139

Version b
# Cs2SbCl4

Crystalline Cs2SbCl4 at its relaxed geometry (PBE-GGA, Alexandria via LeMat-Bulk).

```
Cs2SbCl4
1.0
5.7027 0.0000 0.0000
0.0000 5.7027 0.0000
2.8514 2.8514 8.4827
Cl Cs Sb
4 2 1
direct
0.0000 0.5000 0.0000
0.5000 0.0000 0.0000
0.8403 0.8403 0.3193
0.1597 0.1597 0.6807
0.6360 0.6360 0.7280
0.3640 0.3640 0.2720
0.0000 0.0000 0.0000
```

**Space-group type**: No. 139
**DOS at the Fermi energy**: 0.294 states/eV/atom

Which one sits at the top of the stability order? version a does.

Version a
# CsSc2Cl

Crystalline CsSc2Cl at its relaxed geometry (PBE-GGA, Alexandria via LeMat-Bulk).

```
CsSc2Cl
1.0
0.1263 -2.4816 11.7461
3.3295 -0.9010 11.4999
0.3838 1.0837 11.9509
Sc Cl Cs
2 1 1
direct
0.9312 0.9312 0.9312
0.0688 0.0688 0.0688
0.0000 0.0000 0.0000
0.5000 0.5000 0.5000
```

**Space-group type**: No. 166
**DOS at the Fermi energy**: 1.590 states/eV/atom

Version b
# CsSc2Cl

Crystalline CsSc2Cl at its relaxed geometry (PBE-GGA, Alexandria via LeMat-Bulk).

```
CsSc2Cl
1.0
-4.2455 -1.5937 2.8792
-3.2312 3.6452 2.2640
-4.9676 0.7380 -1.9058
Cs Sc Cl
1 2 1
direct
0.5000 0.5000 0.5000
0.7500 0.7500 0.7500
0.2500 0.2500 0.2500
0.0000 0.0000 0.0000
```

**Space-group type**: No. 225
**DOS at the Fermi energy**: 2.154 states/eV/atom

Version c
# CsSc2Cl

Crystalline CsSc2Cl at its relaxed geometry (PBE-GGA, Alexandria via LeMat-Bulk).

```
CsSc2Cl
1.0
1.8536 8.4919 5.5061
0.6739 6.2685 8.1312
4.1604 6.1759 7.1004
Cl Cs Sc
1 1 2
direct
0.5000 0.5000 0.5000
0.0000 0.0000 0.0000
0.1173 0.1173 0.1173
0.8827 0.8827 0.8827
```

**Space-group type**: No. 166
**DOS at the Fermi energy**: 0.901 states/eV/atom

Which one sits at the top of the stability order? version c does.

Version a
# CsScCl2

Crystalline CsScCl2 at its relaxed geometry (PBE-GGA, Alexandria via LeMat-Bulk).

```
CsScCl2
1.0
5.4537 0.0000 0.0000
2.7268 4.7230 0.0000
2.7268 1.5743 4.4529
Sc Cs Cl
1 1 2
direct
0.0000 0.0000 0.0000
0.5000 0.5000 0.5000
0.7500 0.7500 0.7500
0.2500 0.2500 0.2500
```

**Space-group type**: No. 225
**DOS at the Fermi energy**: 0.665 states/eV/atom

Version b
# CsScCl2

Crystalline CsScCl2 at its relaxed geometry (PBE-GGA, Alexandria via LeMat-Bulk).

```
CsScCl2
1.0
-4.1797 -4.6790 1.7873
1.9486 0.6254 6.1943
-6.3384 3.0697 5.1192
Cs Cl Sc
2 4 2
direct
0.7500 0.2500 0.5000
0.0000 0.0000 0.0000
0.8750 0.7172 0.7500
0.3750 0.5328 0.7500
0.4672 0.1250 0.2500
0.2828 0.6250 0.2500
0.5000 0.5000 0.0000
0.2500 0.7500 0.5000
```

**Space-group type**: No. 122
**DOS at the Fermi energy**: 1.029 states/eV/atom

Which one sits at the top of the stability order? version b does.

Version a
# CsSc3Cl

Crystalline CsSc3Cl at its relaxed geometry (PBE-GGA, Alexandria via LeMat-Bulk).

```
CsSc3Cl
1.0
5.1743 0.0000 0.0000
0.0000 5.1743 0.0000
0.0000 0.0000 5.1743
Sc Cs Cl
3 1 1
direct
0.5000 0.0000 0.0000
0.0000 0.5000 0.0000
0.0000 0.0000 0.5000
0.5000 0.5000 0.5000
0.0000 0.0000 0.0000
```

**Space-group type**: No. 221
**DOS at the Fermi energy**: 1.888 states/eV/atom

Version b
# CsSc3Cl

Crystalline CsSc3Cl at its relaxed geometry (PBE-GGA, Alexandria via LeMat-Bulk).

```
CsSc3Cl
1.0
5.4236 0.0000 0.0000
0.0000 5.4236 0.0000
0.0000 0.0000 5.4236
Sc Cl Cs
3 1 1
direct
0.0000 0.5000 0.0000
0.5000 0.0000 0.0000
0.0000 0.0000 0.5000
0.5000 0.5000 0.5000
0.0000 0.0000 0.0000
```

**Space-group type**: No. 221
**DOS at the Fermi energy**: 1.287 states/eV/atom

Which one sits at the top of the stability order? version a does.

Version a
# CsSe2Cl2

Crystalline CsSe2Cl2 at its relaxed geometry (PBE-GGA, Alexandria via LeMat-Bulk).

```
CsSe2Cl2
1.0
-5.7947 1.1630 -1.9932
1.7473 -1.4842 3.8134
0.5475 16.2864 7.9114
Cl Se Cs
4 4 2
direct
0.7821 0.0617 0.6505
0.2796 0.0617 0.1505
0.7204 0.9383 0.8495
0.2179 0.9383 0.3495
0.3374 0.1753 0.4838
0.8380 0.1753 0.9838
0.6626 0.8247 0.5162
0.1620 0.8247 0.0162
0.7489 0.0000 0.2500
0.2511 0.0000 0.7500
```

**Space-group type**: No. 15
**DOS at the Fermi energy**: 0.215 states/eV/atom

Version b
# CsSe2Cl2

Crystalline CsSe2Cl2 at its relaxed geometry (PBE-GGA, Alexandria via LeMat-Bulk).

```
CsSe2Cl2
1.0
9.0637 0.0000 0.0000
0.0000 9.0637 0.0000
0.0000 0.0000 4.4557
Cl Se Cs
4 4 2
direct
0.7369 0.2369 0.5000
0.2631 0.7631 0.5000
0.2369 0.2631 0.5000
0.7631 0.7369 0.5000
0.4155 0.9155 0.0000
0.5845 0.0845 0.0000
0.9155 0.5845 0.0000
0.0845 0.4155 0.0000
0.5000 0.5000 0.0000
0.0000 0.0000 0.0000
```

**Space-group type**: No. 127
**DOS at the Fermi energy**: 0.000 states/eV/atom

Which one sits at the top of the stability order? version a does.